1.
Computed, not measured: an optimized crystal structure of CoCl5 at the PBE-GGA level of DFT.

Cell: 8.0276 3.3238 12.2949 Å, 90.00 90.00 90.00°
Last column: nearest neighbours and their distance in Å.
Space group Amm2 (No. 38)
One atom of each set of equivalent atoms:
Co1 0.0000 0.0000 0.0000  4 Cl 2.21
Cl1 0.0000 0.0000 0.3813  2 Co 2.21
Cl2 0.0000 0.0000 0.6187  2 Co 2.21
Cl3 0.5000 0.0000 0.1219  4 Cl 2.63-2.64
Cl4 0.5000 0.0000 0.4547  4 Cl 2.64
Cl5 0.5000 0.0000 0.7881  4 Cl 2.63-2.64

Summary:
Polymorph energy (0 for the lowest one), eV per atom: 0.260

2.
Computed, not measured: an optimized crystal structure of CoCl4 at the PBE-GGA level of DFT.

Cell: 12.1455 7.0548 5.7663 Å, 90.00 92.63 90.00°
Last column: nearest neighbours and their distance in Å.
Space group C2/c (No. 15)
One atom of each set of equivalent atoms:
Co1 0.0000 0.1282 0.2500  6 Cl 2.16-2.31
Cl1 0.1018 0.1079 0.9366  2 Co 2.24-2.31
Cl2 0.1115 0.3391 0.3973  1 Co 2.16

3.
Computed, not measured: an optimized crystal structure of Co2Cl3 at the PBE-GGA level of DFT.

Cell: 6.2452 6.2452 16.1909 Å, 90.00 90.00 120.00°
Last column: nearest neighbours and their distance in Å.
Space group R-3c (No. 167, hexagonal axes)
One atom of each set of equivalent atoms:
Co1 0.0000 0.0000 0.1672  6 Cl 2.43-2.51, 1 Co 2.68
Cl1 0.0000 0.3254 0.2500  4 Co 2.43-2.51

Computed values of energy relative to the elements, uncorrected (unit: eV per atom) for the preceding records, in sequence: 0.0079; -0.3623; -0.3603.
Computed values of N(E_F) (unit: states/eV per cell) for the preceding records, in sequence: 12.542; 20.720; 10.475.